(1)
Entry from the Alexandria database: a relaxed structure of CaHoMgIr (GGA-PBE).

Geometry as POSCAR:
```
CaHoMgIr
1.0
5.0264 0.0000 0.0000
2.5132 4.3530 0.0000
2.5132 1.4510 4.1040
Mg Ir Ho Ca
1 1 1 1
Direct
0.5000 0.5000 0.5000
0.0000 0.0000 0.0000
0.7500 0.7500 0.7500
0.2500 0.2500 0.2500
```

Its crystal system is cubic. As for the size of the total moment: 0.000 μB per atom. For the formation energy, the calculation gives -0.29 eV per atom.

***

(2)
Entry from the Alexandria database: a relaxed structure of CaHoNiIr (GGA-PBE).

Geometry as POSCAR:
```
CaHoNiIr
1.0
4.8002 0.0000 0.0000
2.4001 4.1571 0.0000
2.4001 1.3857 3.9194
Ni Ho Ca Ir
1 1 1 1
Direct
0.2500 0.2500 0.2500
0.0000 0.0000 0.0000
0.5000 0.5000 0.5000
0.7500 0.7500 0.7500
```

Its crystal system is cubic. As for the size of the total moment: 0.000 μB per atom. For the formation energy, the calculation gives -0.40 eV per atom.

***

(3)
Entry from the Alexandria database: a relaxed structure of CaHoIrRh (GGA-PBE).

Geometry as POSCAR:
```
CaHoIrRh
1.0
-4.5095 -1.2828 -1.0952
-2.6209 -2.5178 3.1578
-3.7100 2.0838 2.2526
Ca Ir Ho Rh
1 1 1 1
Direct
0.2500 0.2500 0.2500
0.0000 0.0000 0.0000
0.7500 0.7500 0.7500
0.5000 0.5000 0.5000
```

Its crystal system is cubic. As for the size of the total moment: 0.000 μB per atom. For the formation energy, the calculation gives -0.57 eV per atom.

***

(4)
Entry from the Alexandria database: a relaxed structure of CaHoIrSe (GGA-PBE).

Geometry as POSCAR:
```
CaHoIrSe
1.0
4.9611 0.0000 0.0000
2.4805 4.2964 0.0000
2.4805 1.4321 4.0507
Se Ir Ho Ca
1 1 1 1
Direct
0.5000 0.5000 0.5000
0.0000 0.0000 0.0000
0.2500 0.2500 0.2500
0.7500 0.7500 0.7500
```

Its crystal system is cubic. As for the size of the total moment: 0.000 μB per atom. The value obtained for the raw total energy is -0.409 Ry per atom.

***

(5)
Entry from the Alexandria database: a relaxed structure of CaHoZnIr (GGA-PBE).

Geometry as POSCAR:
```
CaHoZnIr
1.0
-0.3846 -4.6743 -1.4942
3.5278 -3.2424 1.1272
-0.8894 -3.5655 3.2750
Ho Ca Ir Zn
1 1 1 1
Direct
0.7500 0.7500 0.7500
0.2500 0.2500 0.2500
0.5000 0.5000 0.5000
0.0000 0.0000 0.0000
```

Its crystal system is cubic. As for the size of the total moment: 0.000 μB per atom. For the formation energy, the calculation gives -0.43 eV per atom.

***

(6)
Entry from the Alexandria database: a relaxed structure of KCa2Ho (GGA-PBE).

Geometry as POSCAR:
```
KCa2Ho
1.0
3.8233 0.0000 0.0000
0.0000 3.8233 0.0000
0.0000 0.0000 11.9700
Ho Ca K
1 2 1
Direct
0.5000 0.5000 0.0000
0.0000 0.0000 0.2092
0.0000 0.0000 0.7908
0.5000 0.5000 0.5000
```

Its crystal system is tetragonal. As for the size of the total moment: 0.193 μB per atom. For the formation energy, the calculation gives 0.17 eV per atom.

***

(7)
Entry from the Alexandria database: a relaxed structure of Ca5La12Ho3 (GGA-PBE).

Geometry as POSCAR:
```
Ca5La12Ho3
1.0
17.1382 0.0000 0.0000
-5.7127 16.1581 0.0000
-5.7127 -8.0790 13.9933
Ca La Ho
20 48 12
Direct
0.8750 0.2500 0.6250
0.8750 0.6250 0.7500
0.3750 0.1250 0.7500
0.1250 0.3750 0.2500
0.5000 0.0000 0.5000
0.5000 0.5000 0.0000
0.1250 0.7500 0.3750
0.0000 0.5000 0.5000
0.7500 0.6250 0.3750
0.7500 0.1250 0.8750
0.2500 0.3750 0.6250
0.6250 0.7500 0.8750
0.5000 0.5000 0.5000
0.5000 0.0000 0.0000
0.0000 0.0000 0.5000
0.3750 0.2500 0.1250
0.2500 0.8750 0.1250
0.0000 0.5000 0.0000
0.0000 0.0000 0.0000
0.6250 0.8750 0.2500
0.6487 0.4112 0.5573
0.4112 0.6487 0.0573
0.2375 0.5888 0.6461
0.1487 0.0573 0.9112
0.6461 0.0888 0.2375
0.2625 0.8539 0.9112
0.7625 0.3513 0.9086
0.2375 0.6487 0.0914
0.2625 0.4086 0.8513
0.5888 0.2375 0.1461
0.3539 0.4427 0.0914
0.5573 0.6461 0.4086
0.9427 0.8513 0.5888
0.4112 0.7625 0.8539
0.7625 0.4112 0.3539
0.0888 0.6461 0.7375
0.0573 0.9086 0.1461
0.8539 0.5914 0.9427
0.0914 0.1487 0.2375
0.3539 0.9112 0.7625
0.6487 0.2375 0.5914
0.6461 0.5573 0.9086
0.5914 0.8539 0.4427
0.0914 0.9427 0.3539
0.9112 0.3539 0.2625
0.9112 0.5573 0.1487
0.8539 0.2625 0.4112
0.8513 0.9427 0.0888
0.7375 0.1461 0.0888
0.9086 0.0573 0.6461
0.4427 0.0888 0.3513
0.1487 0.0914 0.7375
0.5914 0.7375 0.6487
0.0888 0.4427 0.8513
0.1461 0.4086 0.0573
0.4427 0.3539 0.5914
0.4086 0.2625 0.3513
0.3513 0.5888 0.4427
0.3513 0.7625 0.4086
0.5573 0.9112 0.6487
0.1461 0.7375 0.5888
0.8513 0.9086 0.2625
0.5888 0.3513 0.9427
0.7375 0.5914 0.1487
0.9086 0.8513 0.7625
0.0573 0.1487 0.4112
0.9427 0.0914 0.8539
0.4086 0.1461 0.5573
0.1250 0.2500 0.8750
0.8750 0.7500 0.1250
0.2500 0.1250 0.3750
0.6250 0.2500 0.3750
0.3750 0.6250 0.2500
0.2500 0.6250 0.8750
0.7500 0.3750 0.1250
0.1250 0.8750 0.7500
0.8750 0.1250 0.2500
0.6250 0.3750 0.7500
0.3750 0.7500 0.6250
0.7500 0.8750 0.6250
```

Its crystal system is cubic. As for the size of the total moment: 0.012 μB per atom. For the formation energy, the calculation gives 0.81 eV per atom.

***

(8)
Entry from the Alexandria database: a relaxed structure of CaLa12Ho7 (GGA-PBE).

Geometry as POSCAR:
```
CaLa12Ho7
1.0
9.5645 0.0000 -3.3816
-4.7823 8.2831 -3.3816
0.0000 0.0000 10.1447
La Ca Ho
12 1 7
Direct
0.2228 0.5177 0.2949
0.4823 0.7051 0.7772
0.7051 0.2228 0.9279
0.5177 0.2949 0.2228
0.2949 0.2228 0.5177
0.0721 0.2949 0.7772
0.7772 0.0721 0.2949
0.7051 0.7772 0.4823
0.9279 0.7051 0.2228
0.2949 0.7772 0.0721
0.2228 0.9279 0.7051
0.7772 0.4823 0.7051
0.0000 0.0000 0.0000
0.5000 0.0000 0.0000
0.5000 0.5000 0.0000
0.5000 0.5000 0.5000
0.0000 0.5000 0.0000
0.0000 0.5000 0.5000
0.5000 0.0000 0.5000
0.0000 0.0000 0.5000
```

Its crystal system is cubic. As for the size of the total moment: 0.000 μB per atom. For the formation energy, the calculation gives 0.59 eV per atom.

***

(9)
Entry from the Alexandria database: a relaxed structure of CaLa6Ho8 (GGA-PBE).

Geometry as POSCAR:
```
CaLa6Ho8
1.0
6.2555 0.0000 0.0000
0.0000 8.6418 -4.9893
0.0000 0.0000 9.9787
La Ho Ca
6 8 1
Direct
0.5549 0.4448 0.3163
0.5549 0.8715 0.5552
0.4451 0.5552 0.6837
0.4451 0.3163 0.8715
0.5549 0.6837 0.1285
0.4451 0.1285 0.4448
0.0805 0.6667 0.3333
0.0625 0.6590 0.9775
0.0625 0.3185 0.3410
0.9375 0.9775 0.3185
0.9375 0.3410 0.0225
0.9375 0.6815 0.6590
0.9195 0.3333 0.6667
0.0625 0.0225 0.6815
0.5000 0.0000 0.0000
```

Its crystal system is trigonal. As for the size of the total moment: 0.000 μB per atom. For the formation energy, the calculation gives 0.21 eV per atom.

***

(10)
Entry from the Alexandria database: a relaxed structure of CaLa8Ho3 (GGA-PBE).

Geometry as POSCAR:
```
CaLa8Ho3
1.0
7.8533 -0.8446 -3.9631
-4.6835 7.4450 -0.8545
-0.5315 0.8446 8.7805
Ca Ho La
1 3 8
Direct
0.0000 0.0000 0.0000
0.5000 0.2500 0.7500
0.0000 0.5000 0.5000
0.5000 0.7500 0.2500
0.5347 0.3218 0.3218
0.0000 0.8711 0.5696
0.0000 0.5696 0.8711
0.6985 0.1289 0.1289
0.3015 0.4304 0.4304
0.4653 0.7871 0.7870
0.0000 0.2129 0.6782
0.0000 0.6782 0.2130
```

Its crystal system is tetragonal. As for the size of the total moment: 0.000 μB per atom. For the formation energy, the calculation gives 0.54 eV per atom.

***

(11)
Entry from the Alexandria database: a relaxed structure of CaLaHo (GGA-PBE).

Geometry as POSCAR:
```
CaLaHo
1.0
-3.0885 0.6196 1.7890
-1.6781 -2.5879 -2.0008
5.7759 -11.7548 10.3752
Ca La Ho
2 2 2
Direct
0.9501 0.7511 0.9002
0.0499 0.2489 0.0998
0.6367 0.7486 0.2734
0.3633 0.2514 0.7266
0.7869 0.7505 0.5738
0.2131 0.2495 0.4262
```

Its crystal system is monoclinic. Its energy above the most stable polymorph in this dataset is 17 meV/atom. As for the size of the total moment: 0.000 μB per atom. For the formation energy, the calculation gives 0.07 eV per atom.

***

(12)
Entry from the Alexandria database: a relaxed structure of Ca2LaHo (GGA-PBE).

Geometry as POSCAR:
```
Ca2LaHo
1.0
-4.9295 -2.5569 -1.2150
2.5121 -4.3184 -1.1041
-0.4264 -1.4944 4.8747
Ca Ho La
2 1 1
Direct
0.0000 0.5000 0.0000
0.0000 0.0000 0.5000
0.5000 0.5000 0.5000
0.5000 0.0000 0.0000
```

Its crystal system is tetragonal. Its energy above the most stable polymorph in this dataset is 51 meV/atom. As for the size of the total moment: 0.000 μB per atom. For the formation energy, the calculation gives 0.16 eV per atom.

***

(13)
Entry from the Alexandria database: a relaxed structure of CaLaHo (GGA-PBE).

Geometry as POSCAR:
```
CaLaHo
1.0
-0.9677 -0.7871 3.4739
-0.5342 -2.4882 -2.6734
8.3840 -3.4655 1.5503
Ca Ho La
1 1 1
Direct
0.0000 0.0000 0.0075
0.6667 0.3333 0.3429
0.3333 0.6667 0.6496
```

Its crystal system is trigonal. Its energy above the most stable polymorph in this dataset is 1 meV/atom. As for the size of the total moment: 0.000 μB per atom. For the formation energy, the calculation gives 0.05 eV per atom.

***

(14)
Entry from the Alexandria database: a relaxed structure of CaLaHo (GGA-PBE).

Geometry as POSCAR:
```
CaLaHo
1.0
-1.9833 -2.8131 -1.4703
5.0364 -3.8681 0.6186
-0.1513 8.5705 12.3747
Ho La Ca
2 2 2
Direct
0.6994 0.6790 0.1498
0.3006 0.3210 0.8502
0.2163 0.1792 0.1554
0.7837 0.8208 0.8446
0.2251 0.7485 0.4917
0.7749 0.2515 0.5083
```

Its crystal system is monoclinic. Its energy above the most stable polymorph in this dataset is 0 meV/atom. As for the size of the total moment: 0.000 μB per atom. For the formation energy, the calculation gives 0.05 eV per atom.

***

(15)
Entry from the Alexandria database: a relaxed structure of CaLa14Ho (GGA-PBE).

Geometry as POSCAR:
```
CaLa14Ho
1.0
7.3907 0.9969 0.0000
-0.9865 7.3921 0.0000
0.0000 0.0000 10.5307
La Ho Ca
14 1 1
Direct
0.3751 0.1251 0.0000
0.1308 0.8692 0.2525
0.3750 0.6250 0.5000
0.3748 0.1249 0.5000
0.6192 0.3808 0.7472
0.8751 0.6252 0.5000
0.6192 0.3808 0.2528
0.1308 0.8692 0.7475
0.6190 0.8690 0.2526
0.8749 0.6249 0.0000
0.6190 0.8690 0.7474
0.8750 0.1250 0.5000
0.1310 0.3810 0.7474
0.1310 0.3810 0.2526
0.3751 0.6249 0.0000
0.8750 0.1250 0.0000
```

Its crystal system is orthorhombic. As for the size of the total moment: 0.000 μB per atom. For the formation energy, the calculation gives 0.02 eV per atom.

***

(16)
Entry from the Alexandria database: a relaxed structure of CaLaHo (GGA-PBE).

Geometry as POSCAR:
```
CaLaHo
1.0
-4.1404 0.4330 -3.9783
-3.2794 -4.5648 -1.2510
-7.8432 0.8815 4.0915
La Ho Ca
2 2 2
Direct
0.7143 0.7143 0.8572
0.2857 0.2857 0.1428
0.1422 0.1422 0.5734
0.8578 0.8578 0.4266
0.5657 0.5657 0.3028
0.4343 0.4343 0.6972
```

Its crystal system is trigonal. Its energy above the most stable polymorph in this dataset is 320 meV/atom. As for the size of the total moment: 0.001 μB per atom. For the formation energy, the calculation gives 0.37 eV per atom.

***

(17)
Entry from the Alexandria database: a relaxed structure of CaLa7Ho4 (GGA-PBE).

Geometry as POSCAR:
```
CaLa7Ho4
1.0
6.8286 -1.6885 2.1711
0.6016 5.7958 2.5956
2.1052 -1.5340 10.7030
La Ca Ho
7 1 4
Direct
0.2623 0.4978 0.9998
0.0011 0.6565 0.3387
0.9989 0.3435 0.6613
0.2565 0.8322 0.6582
0.5000 0.0000 0.0000
0.7377 0.5022 0.0002
0.7435 0.1678 0.3418
0.0000 0.0000 0.0000
0.2503 0.1626 0.3354
0.5077 0.3431 0.6617
0.7497 0.8374 0.6646
0.4923 0.6569 0.3383
```

Its crystal system is triclinic. As for the size of the total moment: 0.000 μB per atom. For the formation energy, the calculation gives 0.05 eV per atom.

***

(18)
Entry from the Alexandria database: a relaxed structure of CaLaHo (GGA-PBE).

Geometry as POSCAR:
```
CaLaHo
1.0
-3.4032 1.3769 -0.6213
-1.2127 -3.4034 -0.8999
0.4009 -0.2999 8.2966
Ho Ca La
1 1 1
Direct
0.3266 0.3266 0.6532
0.9959 0.9959 0.9918
0.6775 0.6775 0.3550
```

Its crystal system is tetragonal. Its energy above the most stable polymorph in this dataset is 5 meV/atom. As for the size of the total moment: 0.000 μB per atom. For the formation energy, the calculation gives 0.06 eV per atom.

***

(19)
Entry from the Alexandria database: a relaxed structure of Ca2LaHo (GGA-PBE).

Geometry as POSCAR:
```
Ca2LaHo
1.0
-2.3888 1.4891 -3.0991
3.0029 -0.9344 -2.7636
-3.3907 -7.6935 -1.0831
Ca La Ho
2 1 1
Direct
0.0000 0.0000 0.7617
0.0000 0.0000 0.2383
0.5000 0.5000 0.5000
0.5000 0.5000 0.0000
```

Its crystal system is tetragonal. Its energy above the most stable polymorph in this dataset is 44 meV/atom. As for the size of the total moment: 0.000 μB per atom. For the formation energy, the calculation gives 0.15 eV per atom.

***

(20)
Entry from the Alexandria database: a relaxed structure of Ca2La6Ho (GGA-PBE).

Geometry as POSCAR:
```
Ca2La6Ho
1.0
-3.0517 3.0224 5.7808
3.0270 -2.5798 9.1272
7.5213 7.9082 -5.0867
La Ho Ca
12 2 4
Direct
0.8721 0.2542 0.9957
0.3225 0.0032 0.2125
0.1279 0.7458 0.0043
0.7447 0.6582 0.0475
0.1663 0.4268 0.2776
0.6573 0.2599 0.4372
0.0443 0.8513 0.3037
0.9557 0.1487 0.6963
0.8337 0.5732 0.7224
0.6775 0.9968 0.7875
0.2553 0.3418 0.9525
0.3427 0.7401 0.5628
0.3283 0.9151 0.8847
0.6717 0.0849 0.1153
0.5773 0.5211 0.2468
0.7625 0.8019 0.4796
0.4227 0.4789 0.7532
0.2375 0.1981 0.5204
```

Its crystal system is triclinic. As for the size of the total moment: 0.000 μB per atom. For the formation energy, the calculation gives 0.12 eV per atom.

***

(21)
Entry from the Alexandria database: a relaxed structure of Ca2LaHo (GGA-PBE).

Geometry as POSCAR:
```
Ca2LaHo
1.0
3.6044 0.0000 0.0000
1.8022 3.1215 0.0000
1.8022 1.0405 13.2811
Ca La Ho
2 1 1
Direct
0.9103 0.9103 0.2690
0.0897 0.0897 0.7310
0.0000 0.0000 0.0000
0.5000 0.5000 0.5000
```

Its crystal system is trigonal. Its energy above the most stable polymorph in this dataset is 91 meV/atom. As for the size of the total moment: 0.173 μB per atom. For the formation energy, the calculation gives 0.20 eV per atom.